HoPuOs2 | PBE | optimized geometry

* VASP energy: -10.393 eV/atom
* SG: P4/mmm
* DFT formation energy: -0.051 eV/atom

Geometry as POSCAR:
```
HoPuOs2
1.0
-1.622 -1.786 2.366
0.635 -2.844 -1.711
5.856 -0.761 3.438
Os Ho Pu
2 1 1
Direct
0.000 0.000 0.764
0.000 0.000 0.236
0.500 0.500 0.500
0.500 0.500 0.000
```